# Pr4IrI, optimized geometry, DFT PBE
# Magnetic moment: 0.0 μB/f.u.
# Raw total energy: -129.10 eV/cell
# Theoretical density: 6.8 g/cm3
data_Pr4IrI
_chemical_formula_sum 'Pr16 Ir4 I4'
_cell_length_a 8.9378
_cell_length_b 15.8590
_cell_length_c 7.2596
_cell_angle_alpha 90.00
_cell_angle_beta 122.61
_cell_angle_gamma 90.00
_space_group_name_H-M_alt 'C 1 2/c 1'
_space_group_IT_number 15
loop_
_space_group_symop_operation_xyz
'x,y,z'
'-x,-y,-z'
'-x,y,-z+1/2'
'x,-y,z+1/2'
'x+1/2,y+1/2,z'
'-x+1/2,-y+1/2,-z'
'-x+1/2,y+1/2,-z+1/2'
'x+1/2,-y+1/2,z+1/2'
loop_
_atom_site_label
_atom_site_type_symbol
_atom_site_fract_x
_atom_site_fract_y
_atom_site_fract_z
_atom_site_occupancy
Pr1 Pr 0.1975 0.0680 0.2068 1
Pr2 Pr 0.2184 0.1981 0.7437 1
Ir1 Ir 0.0000 0.0705 0.7500 1
I1 I 0.0000 0.4355 0.2500 1